(1)
## ZrTlAs3 (PBE)

Data for ZrTlAs3 after structural relaxation.

The symmetry is Pm-3m (221). The value obtained for the density of states at the Fermi level is 5.19 states/eV/cell. Its energy is -3.89 eV/atom. The formation enthalpy at 0 K is 1079 meV/atom.

Unit cell a=5.1532 b=5.1532 c=5.1532 alpha=90.00 beta=90.00 gamma=90.00
Closest atoms and distances in Å follow each position.
Atoms (fractional coordinates):
Tl1 0.0000 0.0000 0.0000  6 As 2.58
As1 0.0000 0.5000 0.0000  2 Tl 2.58
As2 0.0000 0.0000 0.5000  2 Tl 2.58
As3 0.5000 0.0000 0.0000  2 Tl 2.58
Zr1 0.5000 0.5000 0.5000  12 As 3.64

(2)
## SrSmCl2F2 (PBE)

Data for SrSmCl2F2 after structural relaxation.

The symmetry is P4mm (99). The uncorrected formation energy comes out at -2.864 eV per atom. The value obtained for the density of states at the Fermi level is 2.40 states/eV/cell. Its energy is -5.17 eV/atom.

Unit cell a=4.0037 b=4.0037 c=7.2098 alpha=90.00 beta=90.00 gamma=90.00
Closest atoms and distances in Å follow each position.
Atoms (fractional coordinates):
Sr1 0.5000 0.5000 0.7980  4 F 2.47
Sm1 0.0000 0.0000 0.2283  4 F 2.59, 1 Cl 2.90
Cl1 0.5000 0.5000 0.3448  4 Sm 2.95, 4 F 3.19, 1 Sr 3.27
Cl2 0.0000 0.0000 0.6301  1 Sm 2.90, 4 Sr 3.08
F1 0.5000 0.0000 0.9994  2 Sr 2.47, 2 Sm 2.59
F2 0.0000 0.5000 0.9994  2 Sr 2.47, 2 Sm 2.59

(3)
## TbPmSm3Ho (PBE)

Data for TbPmSm3Ho after structural relaxation.

The symmetry is Cmcm (63). The value obtained for the density of states at the Fermi level is 16.89 states/eV/cell. Its energy is -4.67 eV/atom. The formation enthalpy at 0 K is 16 meV/atom.

Unit cell a=5.0882 b=8.0567 c=10.1977 alpha=90.00 beta=90.00 gamma=108.41
Closest atoms and distances in Å follow each position.
Atoms (fractional coordinates):
Tb1 0.8333 0.6666 0.7500  2 Pm 3.60, 8 Sm 3.60-3.61, 2 Ho 3.61
Tb2 0.1667 0.3334 0.2500  2 Pm 3.60, 8 Sm 3.60-3.61, 2 Ho 3.61
Pm1 0.4994 0.9988 0.7500  6 Sm 3.59-3.61, 2 Tb 3.60, 4 Ho 3.60
Pm2 0.5006 0.0012 0.2500  6 Sm 3.59-3.61, 2 Tb 3.60, 4 Ho 3.60
Sm1 0.6659 0.3317 0.4999  2 Pm 3.59-3.60, 2 Ho 3.59, 3 Tb 3.60-3.61, 5 Sm 3.60-3.62
Sm2 0.3341 0.6683 0.5001  2 Pm 3.59-3.60, 2 Ho 3.59, 3 Tb 3.60-3.61, 5 Sm 3.60-3.62
Sm3 0.3341 0.6683 0.9999  2 Pm 3.59-3.60, 2 Ho 3.59, 3 Tb 3.60-3.61, 5 Sm 3.60-3.62
Sm4 0.6659 0.3317 0.0001  2 Pm 3.59-3.60, 2 Ho 3.59, 3 Tb 3.60-3.61, 5 Sm 3.60-3.62
Sm5 0.1669 0.3338 0.7500  2 Tb 3.60, 6 Sm 3.60-3.61, 2 Ho 3.61, 2 Pm 3.61
Sm6 0.8331 0.6662 0.2500  2 Tb 3.60, 6 Sm 3.60-3.61, 2 Ho 3.61, 2 Pm 3.61
Ho1 0.0000 0.0000 0.5000  6 Sm 3.59-3.61, 4 Pm 3.60, 2 Tb 3.61
Ho2 0.0000 0.0000 0.0000  6 Sm 3.59-3.61, 4 Pm 3.60, 2 Tb 3.61